Entry 1:
VASP calculation (PBE-GGA) on crystalline InAu3S at its relaxed geometry.

Cell lengths 4.9190, 4.9190, 4.9190 Å; angles 90.00, 90.00, 90.00 degrees
Last column: nearest neighbours and their distance in Å.
Space group Pm-3m (No. 221)
One atom of each set of equivalent atoms:
In (0.0000, 0.0000, 0.0000)  12 Au 3.48
Au (0.0000, 0.5000, 0.5000)  2 S 2.46
S (0.5000, 0.5000, 0.5000)  6 Au 2.46

Computed properties:
- Excess energy over the best structure of this formula in the dataset: 0 meV per atom
- Energy relative to the elements, uncorrected: 0.30 eV per atom
- D(E_F): 2.7 states/eV/f.u.
- ρ: 10.29 g/cm³
- Total DFT energy (no corrections): -3.040 eV/atom

Entry 2:
VASP calculation (PBE-GGA) on crystalline In3AuS at its relaxed geometry.

Cell lengths 5.2577, 5.2577, 5.2577 Å; angles 90.00, 90.00, 90.00 degrees
Last column: nearest neighbours and their distance in Å.
Space group Pm-3m (No. 221)
One atom of each set of equivalent atoms:
In (0.0000, 0.0000, 0.5000)  2 Au 2.63
Au (0.0000, 0.0000, 0.0000)  6 In 2.63
S (0.5000, 0.5000, 0.5000)  12 In 3.72

Computed properties:
- Excess energy over the best structure of this formula in the dataset: 0 meV per atom
- Energy relative to the elements, uncorrected: 0.04 eV per atom
- D(E_F): 0.6 states/eV/f.u.
- ρ: 6.55 g/cm³
- Total DFT energy (no corrections): -3.079 eV/atom